(1)
# MgZnIn

A relaxed structure of MgZnIn (GGA-PBEsol, Alexandria).

Summary:
Energy relative to the elements (eV/atom): -0.02
M_tot (μB per formula unit): 0.0

Lattice parameters (Å, degrees): 3.092 3.092 12.484 90.00 90.00 90.00
Space group I4mm (No. 107)
Symmetry-distinct sites (fractional):
Mg 0.000 0.000 0.000 x2
Zn 0.000 0.000 0.647 x2
In 0.000 0.000 0.312 x2

=====

(2)
# In5Pb4

A relaxed structure of In5Pb4 (GGA-PBEsol, Alexandria).

Summary:
Energy relative to the elements (eV/atom): 0.05
M_tot (μB per formula unit): 0.0

Lattice parameters (Å, degrees): 9.3644 9.3644 6.5246 90.00 90.00 120.00
Space group P6_3/mcm (No. 193)
Symmetry-distinct sites (fractional):
In 0.0000 0.3376 0.2500 x6
In 0.3333 0.6667 0.0000 x4
Pb 0.0000 0.0000 0.0000 x2
Pb 0.0000 0.3315 0.7500 x6

=====

(3)
# HfCr2SnOs

A relaxed structure of HfCr2SnOs (GGA-PBEsol, Alexandria).

Summary:
Energy relative to the elements (eV/atom): 1.74
M_tot (μB per formula unit): 5.7

Lattice parameters (Å, degrees): 4.655 4.655 4.808 90.00 90.00 90.00
Space group P4/mmm (No. 123)
Symmetry-distinct sites (fractional):
Hf 0.000 0.000 0.000 x1
Cr 0.000 0.500 0.500 x2
Sn 0.500 0.500 0.500 x1
Os 0.500 0.500 0.000 x1

=====

(4)
# InTe3Mo3

A relaxed structure of InTe3Mo3 (GGA-PBEsol, Alexandria).

Summary:
M_tot (μB per formula unit): 0.0
Formation energy (no corrections) (eV per atom): -0.23

Lattice parameters (Å, degrees): 9.2905 9.2905 4.5584 90.00 90.00 120.00
Space group P6_3/m (No. 176)
Symmetry-distinct sites (fractional):
In 0.3333 0.6667 0.2500 x2
Te 0.0655 0.3764 0.7500 x6
Mo 0.0303 0.1766 0.2500 x6

=====

(5)
# Mo2PbAu

A relaxed structure of Mo2PbAu (GGA-PBEsol, Alexandria).

Summary:
Energy relative to the elements (eV/atom): 0.60
M_tot (μB per formula unit): 0.0

Lattice parameters (Å, degrees): 3.387 4.502 9.229 90.00 90.00 90.00
Space group Immm (No. 71)
Symmetry-distinct sites (fractional):
Mo 0.000 0.000 0.248 x4
Pb 0.000 0.500 0.500 x2
Au 0.000 0.500 0.000 x2

=====

(6)
# Li2VSiO5

A relaxed structure of Li2VSiO5 (GGA-PBEsol, Alexandria).

Summary:
M_tot (μB per formula unit): 1.0
Formation energy (no corrections) (eV per atom): -2.50

Lattice parameters (Å, degrees): 6.331 6.331 4.449 90.00 90.00 90.00
Space group P4/nmm (No. 129, origin choice 2)
Symmetry-distinct sites (fractional):
Li 0.000 0.000 0.000 x4
V 0.250 0.250 0.415 x2
Si 0.250 0.750 0.500 x2
O 0.043 0.750 0.721 x8
O 0.250 0.250 0.784 x2